Record 1
A plane-wave DFT calculation with GGA-PBE was carried out for a relaxed CdIrRh4 crystal.

```
CdIrRh4
1.0
0.000 3.629 3.629
3.629 0.000 3.629
3.629 3.629 0.000
Cd Ir Rh
1 1 4
Direct
0.000 0.000 0.000
0.750 0.750 0.750
0.375 0.375 0.375
0.375 0.375 0.875
0.375 0.875 0.375
0.875 0.375 0.375
```

Computed properties:
DFT formation energy: 0.387 eV per atom
Space-group type: F-43m
Density of states at the Fermi level: 1.993 states/eV per atom

---

Record 2
A plane-wave DFT calculation with GGA-PBE was carried out for a relaxed CdIr2Rh crystal.

```
CdIr2Rh
1.0
1.384 -2.407 0.000
1.384 2.407 0.000
0.000 0.000 9.512
Cd Ir Rh
1 2 1
Direct
0.000 0.000 0.000
0.000 0.000 0.503
0.500 0.500 0.264
0.500 0.500 0.742
```

Computed properties:
DFT formation energy: 0.269 eV per atom
Space-group type: Cmm2
Density of states at the Fermi level: 1.060 states/eV per atom

---

Record 3
A plane-wave DFT calculation with GGA-PBE was carried out for a relaxed CdIr2Rh crystal.

```
CdIr2Rh
1.0
3.887 0.000 0.000
0.000 3.887 0.000
0.000 0.000 4.141
Cd Ir Rh
1 2 1
Direct
0.000 0.000 0.000
0.000 0.500 0.500
0.500 0.000 0.500
0.500 0.500 0.000
```

Computed properties:
DFT formation energy: 0.243 eV per atom
Space-group type: P4/mmm
Density of states at the Fermi level: 1.199 states/eV per atom

---

Record 4
A plane-wave DFT calculation with GGA-PBE was carried out for a relaxed CdIr4Rh crystal.

```
CdIr4Rh
1.0
0.000 3.674 3.674
3.674 0.000 3.674
3.674 3.674 0.000
Cd Ir Rh
1 4 1
Direct
0.000 0.000 0.000
0.126 0.625 0.625
0.625 0.126 0.625
0.625 0.625 0.126
0.625 0.625 0.625
0.250 0.250 0.250
```

Computed properties:
DFT formation energy: 0.466 eV per atom
Space-group type: F-43m
Density of states at the Fermi level: 2.050 states/eV per atom

---

Number 1: spin magnetization 2.19 μB/cell. Number 2: spin magnetization 0.00 μB/cell. Number 3: spin magnetization 0.00 μB/cell. Number 4: spin magnetization 0.01 μB/cell.